1.
# PBE CoHgPbAu, optimized geometry
data_CoHgPbAu
_cell_length_a 6.7950
_cell_length_b 6.7950
_cell_length_c 6.7950
_cell_angle_alpha 90.00
_cell_angle_beta 90.00
_cell_angle_gamma 90.00
_space_group_name_H-M_alt 'F -4 3 m'
_space_group_IT_number 216
_space_group_name_Hall 'F -4 2 3'
loop_
_atom_site_label
_atom_site_type_symbol
_atom_site_fract_x
_atom_site_fract_y
_atom_site_fract_z
_atom_site_occupancy
Co1 Co 0.0000 0.0000 0.0000 1
Hg1 Hg 0.2500 0.2500 0.2500 1
Pb1 Pb 0.2500 0.2500 0.7500 1
Au1 Au 0.0000 0.0000 0.5000 1
# Total energy in Ha/atom: -0.1163
# Distance to the lowest polymorph of the same formula in eV per atom: 0.000


2.
# PBE Er2ZnIn, optimized geometry
data_Er2ZnIn
_cell_length_a 3.6006
_cell_length_b 3.6006
_cell_length_c 7.3771
_cell_angle_alpha 90.00
_cell_angle_beta 90.00
_cell_angle_gamma 90.00
_space_group_name_H-M_alt 'P 4/m m m'
_space_group_IT_number 123
_space_group_name_Hall '-P 4 2'
loop_
_atom_site_label
_atom_site_type_symbol
_atom_site_fract_x
_atom_site_fract_y
_atom_site_fract_z
_atom_site_occupancy
Er1 Er 0.0000 0.0000 0.2305 1
Zn1 Zn 0.5000 0.5000 0.0000 1
In1 In 0.5000 0.5000 0.5000 1
# Total energy in Ha/atom: -0.1357


3.
# PBE TbSbN2O, optimized geometry
data_TbSbN2O
_cell_length_a 5.6762
_cell_length_b 3.8972
_cell_length_c 5.7895
_cell_angle_alpha 90.00
_cell_angle_beta 90.00
_cell_angle_gamma 90.00
_space_group_name_H-M_alt 'P m m a'
_space_group_IT_number 51
_space_group_name_Hall '-P 2a 2a'
loop_
_atom_site_label
_atom_site_type_symbol
_atom_site_fract_x
_atom_site_fract_y
_atom_site_fract_z
_atom_site_occupancy
Tb1 Tb 0.2500 0.0000 0.2203 1
Sb1 Sb 0.2500 0.5000 0.7363 1
N1 N 0.0000 0.5000 0.5000 1
N2 N 0.2500 0.0000 0.8219 1
O1 O 0.0000 0.5000 0.0000 1
# Total energy in Ha/atom: -0.2494


4.
# PBE BIr, optimized geometry
data_BIr
_cell_length_a 4.0202
_cell_length_b 5.8606
_cell_length_c 3.9389
_cell_angle_alpha 90.00
_cell_angle_beta 90.00
_cell_angle_gamma 90.00
_space_group_name_H-M_alt 'C m c m'
_space_group_IT_number 63
_space_group_name_Hall '-C 2c 2'
loop_
_atom_site_label
_atom_site_type_symbol
_atom_site_fract_x
_atom_site_fract_y
_atom_site_fract_z
_atom_site_occupancy
B1 B 0.0000 0.1036 0.2500 1
Ir1 Ir 0.0000 0.2569 0.7500 1
# Total energy in Ha/atom: -0.2933


5.
# PBE Rb2AgAsI6, optimized geometry
data_Rb2AgAsI6
_cell_length_a 11.7328
_cell_length_b 11.7328
_cell_length_c 11.7328
_cell_angle_alpha 90.00
_cell_angle_beta 90.00
_cell_angle_gamma 90.00
_space_group_name_H-M_alt 'F m -3 m'
_space_group_IT_number 225
_space_group_name_Hall '-F 4 2 3'
loop_
_atom_site_label
_atom_site_type_symbol
_atom_site_fract_x
_atom_site_fract_y
_atom_site_fract_z
_atom_site_occupancy
Rb1 Rb 0.2500 0.2500 0.2500 1
Ag1 Ag 0.0000 0.0000 0.0000 1
As1 As 0.0000 0.0000 0.5000 1
I1 I 0.0000 0.0000 0.2542 1
# Total energy in Ha/atom: -0.0943


6.
# PBE ScZnHg2Br6, optimized geometry
data_ScZnHg2Br6
_cell_length_a 10.5684
_cell_length_b 10.5684
_cell_length_c 10.5684
_cell_angle_alpha 90.00
_cell_angle_beta 90.00
_cell_angle_gamma 90.00
_space_group_name_H-M_alt 'F m -3 m'
_space_group_IT_number 225
_space_group_name_Hall '-F 4 2 3'
loop_
_atom_site_label
_atom_site_type_symbol
_atom_site_fract_x
_atom_site_fract_y
_atom_site_fract_z
_atom_site_occupancy
Sc1 Sc 0.0000 0.0000 0.0000 1
Zn1 Zn 0.0000 0.0000 0.5000 1
Hg1 Hg 0.2500 0.2500 0.2500 1
Br1 Br 0.0000 0.0000 0.2513 1
# Total energy in Ha/atom: -0.0948